No. 1
Dy4ErTmSc2 after structural relaxation. Source: Alexandria, functional PBE.

CIF file:
```
data_Dy4ErTmSc2
_chemical_formula_sum 'Dy4 Er1 Tm1 Sc2'
_symmetry_space_group_name_H-M 'P 4/m m m'
_symmetry_Int_Tables_number 123
_symmetry_space_group_name_Hall '-P 4 2'
_cell_length_a 5.6351
_cell_length_b 5.6351
_cell_length_c 7.4360
_cell_angle_alpha 90.00
_cell_angle_beta 90.00
_cell_angle_gamma 90.00
loop_
_atom_site_label
_atom_site_type_symbol
_atom_site_fract_x
_atom_site_fract_y
_atom_site_fract_z
_atom_site_occupancy
Dy1 Dy 0.0000 0.5000 0.2489 1
Er1 Er 0.0000 0.0000 0.5000 1
Tm1 Tm 0.5000 0.5000 0.0000 1
Sc1 Sc 0.0000 0.0000 0.0000 1
Sc2 Sc 0.5000 0.5000 0.5000 1
```



No. 2
Dy2ErTmSc after structural relaxation. Source: Alexandria, functional PBE.

CIF file:
```
data_Dy2ErTmSc
_chemical_formula_sum 'Dy8 Er4 Tm4 Sc4'
_symmetry_space_group_name_H-M 'C m c m'
_symmetry_Int_Tables_number 63
_symmetry_space_group_name_Hall '-C 2c 2'
_cell_length_a 8.1101
_cell_length_b 11.1134
_cell_length_c 7.0428
_cell_angle_alpha 90.00
_cell_angle_beta 90.00
_cell_angle_gamma 90.00
loop_
_atom_site_label
_atom_site_type_symbol
_atom_site_fract_x
_atom_site_fract_y
_atom_site_fract_z
_atom_site_occupancy
Dy1 Dy 0.1976 0.0000 0.0000 1
Er1 Er 0.0000 0.2311 0.2500 1
Tm1 Tm 0.0000 0.2296 0.7500 1
Sc1 Sc 0.0000 0.4993 0.7500 1
```



No. 3
Dy5ErTmSc2 after structural relaxation. Source: Alexandria, functional PBE.

CIF file:
```
data_Dy5ErTmSc2
_chemical_formula_sum 'Dy20 Er4 Tm4 Sc8'
_symmetry_space_group_name_H-M 'C m c 21'
_symmetry_Int_Tables_number 36
_symmetry_space_group_name_Hall 'C 2c -2'
_cell_length_a 5.5643
_cell_length_b 21.2824
_cell_length_c 9.2898
_cell_angle_alpha 90.00
_cell_angle_beta 90.00
_cell_angle_gamma 90.00
loop_
_atom_site_label
_atom_site_type_symbol
_atom_site_fract_x
_atom_site_fract_y
_atom_site_fract_z
_atom_site_occupancy
Dy1 Dy 0.0000 0.0124 0.0000 1
Dy2 Dy 0.0000 0.2651 0.6777 1
Dy3 Dy 0.0000 0.3057 0.2922 1
Dy4 Dy 0.0000 0.3917 0.9629 1
Dy5 Dy 0.0000 0.4686 0.2619 1
Er1 Er 0.0000 0.1847 0.9937 1
Tm1 Tm 0.0000 0.4011 0.5888 1
Sc1 Sc 0.0000 0.1134 0.6863 1
Sc2 Sc 0.0000 0.1336 0.3080 1
```



No. 4
DyEr2TmSc5 after structural relaxation. Source: Alexandria, functional PBE.

CIF file:
```
data_DyEr2TmSc5
_chemical_formula_sum 'Dy4 Er8 Tm4 Sc20'
_symmetry_space_group_name_H-M 'C m c 21'
_symmetry_Int_Tables_number 36
_symmetry_space_group_name_Hall 'C 2c -2'
_cell_length_a 5.3035
_cell_length_b 18.4942
_cell_length_c 10.2221
_cell_angle_alpha 90.00
_cell_angle_beta 90.00
_cell_angle_gamma 90.00
loop_
_atom_site_label
_atom_site_type_symbol
_atom_site_fract_x
_atom_site_fract_y
_atom_site_fract_z
_atom_site_occupancy
Dy1 Dy 0.0000 0.0825 0.0000 1
Er1 Er 0.0000 0.3879 0.8646 1
Er2 Er 0.0000 0.3907 0.2727 1
Tm1 Tm 0.0000 0.2938 0.5532 1
Sc1 Sc 0.0000 0.0213 0.2759 1
Sc2 Sc 0.0000 0.1042 0.5635 1
Sc3 Sc 0.0000 0.2006 0.2543 1
Sc4 Sc 0.0000 0.2150 0.8459 1
Sc5 Sc 0.0000 0.4791 0.5719 1
```



Number 1: DFT formation energy 0.12 eV/atom, spin magnetization 0.00 Bohr magnetons per cell. Number 2: DFT formation energy 0.37 eV/atom, spin magnetization 0.00 Bohr magnetons per cell. Number 3: DFT formation energy 0.17 eV/atom, spin magnetization 0.00 Bohr magnetons per cell. Number 4: DFT formation energy 0.17 eV/atom, spin magnetization 0.00 Bohr magnetons per cell.